Below is crystalline MgPtSe at its relaxed geometry, with properties calculated at the GGA-PBE level.

abc: 3.209 3.209 6.116
angles: 90.00 90.00 120.00
Sites, in units of the cell vectors:
Se1 0.667 0.333 0.662
Mg1 0.000 0.000 0.009
Pt1 0.333 0.667 0.328

Properties
crystal system	trigonal
space group	P3m1


Below is crystalline MgPtSe2 at its relaxed geometry, with properties calculated at the GGA-PBE level.

abc: 4.661 4.661 3.329
angles: 90.00 90.00 90.00
Sites, in units of the cell vectors:
Se1 0.000 0.000 0.000
Pt1 0.000 0.500 0.500
Mg1 0.500 0.000 0.500
Se2 0.500 0.500 0.000

Properties
crystal system	tetragonal
space group	P4/mmm


Below is crystalline MgPt2Se3 at its relaxed geometry, with properties calculated at the GGA-PBE level.

abc: 5.081 7.565 7.565
angles: 120.00 90.00 90.00
Sites, in units of the cell vectors:
Mg1 0.351 0.333 0.667
Pt1 0.000 0.500 0.000
Se1 0.751 0.175 0.825
Mg2 0.649 0.667 0.333
Se2 0.249 0.825 0.650
Se3 0.249 0.350 0.175
Pt2 0.000 0.000 0.500
Se4 0.249 0.825 0.175
Pt3 0.000 0.500 0.500
Se5 0.751 0.175 0.350
Pt4 0.000 0.000 0.000
Se6 0.751 0.650 0.825

Properties
crystal system	trigonal
space group	P-3m1


Below is crystalline MgPtSe at its relaxed geometry, with properties calculated at the GGA-PBE level.

abc: 9.324 3.772 4.510
angles: 114.74 69.48 78.35
Sites, in units of the cell vectors:
Mg1 0.746 0.411 0.919
Se1 0.074 0.894 0.213
Se2 0.419 0.927 0.623
Mg2 0.246 0.410 0.418
Pt1 0.862 0.582 0.376
Pt2 0.631 0.240 0.461

Properties
crystal system	monoclinic
space group	Cm


Energy values, unit eV per atom, following the record order: -3.95; -3.92; -4.57; -4.37.
Energy relative to the elements, uncorrected values, unit eV/atom, following the record order: -0.242; -0.264; -0.545; -0.661.